Sc2ZnCr: optimized geometry, PBE-GGA.

- crystal system = tetragonal
- formation energy (eV per formula unit) = -0.2

Cell lengths 3.2419, 3.2419, 7.0220 Å; angles 90.00, 90.00, 90.00 degrees
Fractional positions:
Sc1 0.0000 0.0000 0.2384
Sc2 0.0000 0.0000 0.7616
Zn1 0.5000 0.5000 0.5000
Cr1 0.5000 0.5000 0.0000

Ta4Rh7Au: optimized geometry, PBE-GGA.

- crystal system = monoclinic
- formation energy (eV per formula unit) = -0.9

Cell lengths 5.8309, 5.8309, 9.2487 Å; angles 116.58, 116.58, 48.65 degrees
Fractional positions:
Ta1 0.0859 0.0859 0.2758
Ta2 0.2437 0.2437 0.8309
Ta3 0.7563 0.7563 0.1691
Ta4 0.9141 0.9141 0.7242
Rh1 0.0000 0.0000 0.5000
Rh2 0.1401 0.1401 0.0431
Rh3 0.2898 0.2898 0.5928
Rh4 0.4268 0.4268 0.1579
Rh5 0.5732 0.5732 0.8421
Rh6 0.7102 0.7102 0.4072
Rh7 0.8599 0.8599 0.9569
Au1 0.5000 0.5000 0.5000

TaInF6: optimized geometry, PBE-GGA.

- raw formation energy (eV per atom) = -2.93
- crystal system = monoclinic

Cell lengths 5.3053, 5.3053, 5.2482 Å; angles 96.03, 96.03, 95.43 degrees
Fractional positions:
Ta1 0.0000 0.0000 0.0000
In1 0.5000 0.5000 0.5000
F1 0.0898 0.7448 0.7455
F2 0.2503 0.2503 0.9048
F3 0.2552 0.9102 0.2545
F4 0.7448 0.0898 0.7455
F5 0.7497 0.7497 0.0952
F6 0.9102 0.2552 0.2545

LiY2InHg4: optimized geometry, PBE-GGA.

- crystal system = trigonal
- formation energy (eV per formula unit) = -3.5

Cell lengths 8.7842, 8.7842, 8.7842 Å; angles 33.69, 33.69, 33.69 degrees
Fractional positions:
Li1 0.0000 0.0000 0.0000
Y1 0.2457 0.2457 0.2457
Y2 0.7543 0.7543 0.7543
In1 0.5000 0.5000 0.5000
Hg1 0.1166 0.1166 0.1166
Hg2 0.3678 0.3678 0.3678
Hg3 0.6322 0.6322 0.6322
Hg4 0.8834 0.8834 0.8834